1.
A plane-wave DFT calculation with PBE was carried out for a geometry-optimized PaSbAsPd structure.

abc: 4.257 4.257 9.449
angles: 90.00 90.00 90.00
Atoms (fractional coordinates):
Pa: 0.500 0.000 0.726
Pa: 0.000 0.500 0.274
Sb: 0.000 0.500 0.814
Sb: 0.500 0.000 0.186
As: 0.000 0.000 0.500
As: 0.500 0.500 0.500
Pd: 0.500 0.500 0.000
Pd: 0.000 0.000 0.000

- Magnetization: 0.00 Bohr magnetons per cell
- Formation energy (no corrections): -719.7 meV per atom
- VASP energy: -6.585 eV/atom

---

2.
A plane-wave DFT calculation with PBE was carried out for a geometry-optimized Sr3Pa2As6Pd structure.

abc: 7.180 7.180 7.635
angles: 100.47 100.47 118.17
Atoms (fractional coordinates):
Sr: 0.169 0.831 0.500
Sr: 0.831 0.169 0.500
Sr: 0.500 0.500 0.500
Pa: 0.335 0.665 0.000
Pa: 0.665 0.335 0.000
As: 0.934 0.614 0.795
As: 0.723 0.723 0.231
As: 0.066 0.386 0.205
As: 0.614 0.934 0.795
As: 0.277 0.277 0.769
As: 0.386 0.066 0.205
Pd: 0.000 0.000 0.000

- Magnetization: 0.00 Bohr magnetons per cell
- E_form: -0.9111 eV per atom
- VASP energy: -5.672 eV/atom

---

3.
A plane-wave DFT calculation with PBE was carried out for a geometry-optimized PmPaAs structure.

abc: 4.908 4.908 4.908
angles: 60.00 60.00 60.00
Atoms (fractional coordinates):
As: 0.250 0.250 0.250
Pa: 0.500 0.500 0.500
Pm: 0.000 0.000 0.000

- Magnetization: 1.99 Bohr magnetons per cell
- E_form: -0.2746 eV per atom
- Polymorph energy (0 for the lowest one): 0.53 eV per formula unit
- VASP energy: -6.573 eV/atom

---

4.
A plane-wave DFT calculation with PBE was carried out for a geometry-optimized PmPa5As6 structure.

abc: 7.123 7.124 7.125
angles: 60.00 80.40 70.52
Atoms (fractional coordinates):
As: 0.747 0.085 0.337
As: 0.253 0.578 0.337
As: 0.250 0.254 0.000
As: 0.750 0.746 0.000
As: 0.747 0.422 0.663
As: 0.253 0.915 0.663
Pa: 0.500 0.164 0.672
Pa: 0.000 0.333 0.334
Pa: 0.500 0.500 0.000
Pa: 0.000 0.667 0.666
Pa: 0.500 0.836 0.328
Pm: 0.000 0.000 0.000

- Magnetization: 0.00 Bohr magnetons per cell
- E_form: -1.1294 eV per atom
- VASP energy: -7.807 eV/atom

---

5.
A plane-wave DFT calculation with PBE was carried out for a geometry-optimized Pm3PaAs4 structure.

abc: 4.199 7.262 7.262
angles: 109.43 90.00 90.00
Atoms (fractional coordinates):
Pm: 0.000 0.000 0.500
Pm: 0.500 0.500 0.500
Pm: 0.000 0.500 0.000
Pa: 0.500 0.000 0.000
As: 0.000 0.241 0.241
As: 0.500 0.756 0.244
As: 0.000 0.759 0.759
As: 0.500 0.244 0.756

- Magnetization: 0.00 Bohr magnetons per cell
- E_form: -1.4172 eV per atom
- VASP energy: -6.710 eV/atom

---

6.
A plane-wave DFT calculation with PBE was carried out for a geometry-optimized Pm5Pa3As8 structure.

abc: 8.351 8.351 8.352
angles: 60.01 60.01 60.00
Atoms (fractional coordinates):
Pm: 0.500 0.000 0.000
Pm: 0.500 0.500 0.000
Pm: 0.000 0.000 0.000
Pm: 0.000 0.500 0.000
Pm: 0.500 0.500 0.500
Pa: 0.500 0.000 0.500
Pa: 0.000 0.000 0.500
Pa: 0.000 0.500 0.500
As: 0.250 0.250 0.740
As: 0.250 0.760 0.740
As: 0.760 0.250 0.740
As: 0.754 0.754 0.739
As: 0.750 0.750 0.260
As: 0.750 0.240 0.260
As: 0.240 0.750 0.260
As: 0.246 0.246 0.261

- Magnetization: 0.00 Bohr magnetons per cell
- E_form: -1.3530 eV per atom
- VASP energy: -6.943 eV/atom

---

7.
A plane-wave DFT calculation with PBE was carried out for a geometry-optimized PmPaAs structure.

abc: 3.643 3.643 6.476
angles: 106.34 106.34 90.00
Atoms (fractional coordinates):
As: 0.292 0.292 0.584
Pa: 0.917 0.917 0.835
Pm: 0.640 0.640 0.281

- Magnetization: 0.00 Bohr magnetons per cell
- E_form: -0.4295 eV per atom
- Polymorph energy (0 for the lowest one): 0.06 eV per formula unit
- VASP energy: -6.728 eV/atom

---

8.
A plane-wave DFT calculation with PBE was carried out for a geometry-optimized PmPa2As structure.

abc: 4.983 4.369 4.369
angles: 90.00 90.00 90.00
Atoms (fractional coordinates):
As: 0.500 0.500 0.500
Pa: 0.000 0.000 0.500
Pa: 0.000 0.500 0.000
Pm: 0.500 0.000 0.000

- Magnetization: 0.03 Bohr magnetons per cell
- E_form: -0.2868 eV per atom
- Polymorph energy (0 for the lowest one): 0.00 eV per formula unit
- VASP energy: -7.385 eV/atom

---

9.
A plane-wave DFT calculation with PBE was carried out for a geometry-optimized Pm4PaAs5 structure.

abc: 5.940 7.279 7.279
angles: 80.42 65.92 65.92
Atoms (fractional coordinates):
Pm: 0.403 0.400 0.796
Pm: 0.803 0.796 0.600
Pm: 0.199 0.204 0.400
Pm: 0.599 0.600 0.204
Pa: 0.001 0.000 0.000
As: 0.904 0.387 0.806
As: 0.291 0.806 0.613
As: 0.711 0.194 0.387
As: 0.098 0.613 0.194
As: 0.501 0.000 0.000

- Magnetization: 0.00 Bohr magnetons per cell
- E_form: -1.4468 eV per atom
- VASP energy: -6.621 eV/atom

---

10.
A plane-wave DFT calculation with PBE was carried out for a geometry-optimized Pm3PaAs4 structure.

abc: 5.925 5.925 7.262
angles: 114.07 114.07 90.00
Atoms (fractional coordinates):
As: 0.759 0.759 0.517
As: 0.241 0.241 0.483
As: 0.500 0.000 0.000
As: 0.000 0.500 0.000
Pa: 0.000 0.000 0.000
Pm: 0.500 0.500 0.000
Pm: 0.750 0.250 0.500
Pm: 0.250 0.750 0.500

- Magnetization: 0.00 Bohr magnetons per cell
- E_form: -1.4167 eV per atom
- VASP energy: -6.710 eV/atom

---

11.
A plane-wave DFT calculation with PBE was carried out for a geometry-optimized PmPaAs structure.

abc: 6.656 3.865 3.865
angles: 120.00 90.00 90.00
Atoms (fractional coordinates):
As: 0.995 0.000 0.000
Pa: 0.726 0.333 0.667
Pm: 0.279 0.667 0.333

- Magnetization: 1.51 Bohr magnetons per cell
- E_form: -0.4501 eV per atom
- Polymorph energy (0 for the lowest one): 0.00 eV per formula unit
- VASP energy: -6.749 eV/atom

---

12.
A plane-wave DFT calculation with PBE was carried out for a geometry-optimized PmPaAs structure.

abc: 3.690 7.626 7.626
angles: 100.91 90.00 90.00
Atoms (fractional coordinates):
Pa: 0.000 0.000 0.000
Pa: 0.500 0.500 0.500
As: 0.000 0.718 0.718
As: 0.000 0.282 0.282
Pm: 0.500 0.229 0.771
Pm: 0.500 0.771 0.229

- Magnetization: 2.05 Bohr magnetons per cell
- E_form: 0.4155 eV per atom
- Polymorph energy (0 for the lowest one): 2.60 eV per formula unit
- VASP energy: -5.883 eV/atom

---

> Look up the VASP energy of the first one.

-6.585 eV/atom

---

> Among the records above, which one has the highest magnetization?

number 12